A relaxed structure of Fe10OF19, computed with PBE+U.

Cell lengths 4.7868, 5.7728, 13.6380 Å; angles 79.45, 89.47, 89.05 degrees
With the nearest neighbours (Å) after each atom.
Fractional positions:
Fe: 0.0000 0.0000 0.0000  6 F 2.05-2.15
Fe: 0.9995 0.2124 0.3958  1 O 1.98, 5 F 2.06-2.15
Fe: 0.0040 0.4050 0.7993  6 F 2.05-2.08
Fe: 0.0139 0.8071 0.5962  6 F 2.05-2.14
Fe: 0.4965 0.5037 0.9998  6 F 2.03-2.15
Fe: 0.4994 0.0981 0.1991  6 F 2.01-2.17
Fe: 0.5052 0.9036 0.7989  6 F 2.04-2.08
Fe: 0.5115 0.3056 0.6006  6 F 2.03-2.19
Fe: 0.5298 0.6834 0.3910  1 O 1.83, 3 F 2.02
Fe: 0.9854 0.5934 0.2056  1 O 2.00, 5 F 2.06-2.11
O: 0.8012 0.5110 0.3396  3 Fe 1.83-2.00
F: 0.1933 0.6724 0.0664  3 Fe 2.03-2.14
F: 0.1966 0.2758 0.2586  3 Fe 2.01-2.09
F: 0.2019 0.4791 0.6608  3 Fe 2.03-2.13
F: 0.2050 0.0940 0.8581  3 Fe 2.04-2.15
F: 0.2125 0.8933 0.4528  3 Fe 2.11-2.18
F: 0.3001 0.5956 0.8579  3 Fe 2.06-2.13
F: 0.3034 0.7703 0.2652  3 Fe 2.02-2.17
F: 0.3056 0.1735 0.0605  3 Fe 2.05-2.15
F: 0.3110 0.4034 0.4601  3 Fe 2.02-2.15
F: 0.3136 0.9787 0.6600  3 Fe 2.05-2.15
F: 0.6880 0.0061 0.3397  3 Fe 2.02-2.15
F: 0.6973 0.8280 0.9368  3 Fe 2.05-2.15
F: 0.6981 0.6416 0.5327  3 Fe 2.07-2.19
F: 0.7003 0.4126 0.1376  3 Fe 2.06-2.10
F: 0.7084 0.2136 0.7403  3 Fe 2.07-2.11
F: 0.7973 0.9108 0.1414  3 Fe 2.01-2.13
F: 0.8041 0.3304 0.9359  3 Fe 2.04-2.15
F: 0.8039 0.7151 0.7371  3 Fe 2.05-2.14
F: 0.8165 0.1346 0.5366  3 Fe 2.03-2.13

- DOS at the Fermi energy: 0.0 states/eV/f.u.
- Crystal system: triclinic
- Offset from the most stable computed form: 0.147 eV per atom
- Space group: P1 (1)